No. 1
A plane-wave DFT calculation with GGA-PBE was carried out for crystalline Zn2CdBr at its relaxed geometry.

Geometry as extended XYZ:
```
4
Lattice="0.000 3.642 3.642 3.642 0.000 3.642 3.642 3.642 0.000" Properties=species:S:1:pos:R:3 pbc="T T T"
Zn 1.821 1.821 1.821
Zn 5.463 5.463 5.463
Br 0.000 0.000 0.000
Cd 3.642 3.642 3.642
```

Results
crystal system = cubic
DOS(E_F) = 3.0 states/eV/cell
uncorrected formation energy = 4.90 kcal/mol of atoms


No. 2
A plane-wave DFT calculation with GGA-PBE was carried out for crystalline ZnCd5Br12 at its relaxed geometry.

Geometry as extended XYZ:
```
18
Lattice="-6.003 0.925 3.346 -2.497 -5.018 4.093 6.885 5.433 10.870" Properties=species:S:1:pos:R:3 pbc="T T T"
Zn 0.000 0.000 0.000
Cd 0.441 3.179 7.108
Cd 0.777 -0.475 8.721
Cd -2.392 1.815 9.588
Cd -5.667 -2.728 4.959
Cd -2.834 -1.365 2.480
Br -2.351 2.865 6.978
Br 3.233 3.493 7.238
Br 2.027 5.471 11.967
Br -1.145 0.888 2.249
Br 2.523 1.701 13.536
Br -6.955 -1.909 7.334
Br 5.339 3.250 10.975
Br -4.138 -0.361 4.773
Br 0.401 2.129 9.718
Br -2.433 0.766 12.198
Br 0.818 0.575 6.111
Br -2.016 -0.789 8.591
```

Results
crystal system = monoclinic
DOS(E_F) = 0.0 states/eV/cell
uncorrected formation energy = -19.47 kcal/mol of atoms


No. 3
A plane-wave DFT calculation with GGA-PBE was carried out for crystalline Zn2CdBr at its relaxed geometry.

Geometry as extended XYZ:
```
4
Lattice="5.155 0.000 0.000 2.577 4.464 0.000 2.577 1.488 4.209" Properties=species:S:1:pos:R:3 pbc="T T T"
Br 5.155 2.976 2.104
Cd 7.732 4.464 3.157
Zn 0.000 0.000 0.000
Zn 2.577 1.488 1.052
```

Results
crystal system = cubic
DOS(E_F) = 4.6 states/eV/cell
uncorrected formation energy = 5.12 kcal/mol of atoms


No. 4
A plane-wave DFT calculation with GGA-PBE was carried out for crystalline Zn2CdBr at its relaxed geometry.

Geometry as extended XYZ:
```
4
Lattice="-1.823 3.327 -2.763 -2.641 -1.200 -3.689 -7.729 1.609 -1.043" Properties=species:S:1:pos:R:3 pbc="T T T"
Br -5.390 1.531 -2.723
Cd -9.444 2.430 -3.539
Zn -7.706 1.712 -1.567
Zn -3.477 1.540 -4.458
```

Results
crystal system = monoclinic
DOS(E_F) = 1.2 states/eV/cell
uncorrected formation energy = -4.15 kcal/mol of atoms


Question: Look up the uncorrected formation energy of the first one.
Answer: 4.90 kcal/mol of atoms